No. 1
Here is an optimized crystal structure of BTe2Pd from Alexandria via LeMat-Bulk. Energies are from PBE-GGA.

magnetization = 0.00 Bohr magnetons per cell
formation energy (no corrections) = 0.425 eV per atom

Geometry as CIF:
```
data_BTe2Pd
_chemical_formula_sum 'B3 Te6 Pd3'
_cell_length_a 4.3158
_cell_length_b 4.3158
_cell_length_c 20.4315
_cell_angle_alpha 90.00
_cell_angle_beta 90.00
_cell_angle_gamma 120.00
_symmetry_space_group_name_H-M 'R -3 m'
_symmetry_Int_Tables_number 166
_symmetry_space_group_name_Hall '-R 3 2"'
loop_
_atom_site_label
_atom_site_type_symbol
_atom_site_fract_x
_atom_site_fract_y
_atom_site_fract_z
_atom_site_occupancy
B1 B 0.0000 0.0000 0.0000 1
Te1 Te 0.0000 0.0000 0.1004 1
Pd1 Pd 0.0000 0.0000 0.5000 1
```


No. 2
Here is an optimized crystal structure of BTe2Pd6 from Alexandria via LeMat-Bulk. Energies are from PBE-GGA.

magnetization = 0.00 Bohr magnetons per cell
formation energy (no corrections) = -0.193 eV per atom

Geometry as CIF:
```
data_BTe2Pd6
_chemical_formula_sum 'B2 Te4 Pd12'
_cell_length_a 12.299
_cell_length_b 5.749
_cell_length_c 4.582
_cell_angle_alpha 90.00
_cell_angle_beta 101.09
_cell_angle_gamma 90.00
_symmetry_space_group_name_H-M 'C 1 2/m 1'
_symmetry_Int_Tables_number 12
loop_
_symmetry_equiv_pos_as_xyz
'x,y,z'
'-x,-y,-z'
'-x,y,-z'
'x,-y,z'
'x+1/2,y+1/2,z'
'-x+1/2,-y+1/2,-z'
'-x+1/2,y+1/2,-z'
'x+1/2,-y+1/2,z'
loop_
_atom_site_label
_atom_site_type_symbol
_atom_site_fract_x
_atom_site_fract_y
_atom_site_fract_z
_atom_site_occupancy
B1 B 0.000 0.000 0.000 1
Te1 Te 0.183 0.500 0.611 1
Pd1 Pd 0.000 0.231 0.500 1
Pd2 Pd 0.132 0.244 0.070 1
```


No. 3
Here is an optimized crystal structure of BTePd3 from Alexandria via LeMat-Bulk. Energies are from PBE-GGA.

relative energy among the computed polymorphs = 1.369 eV/atom
magnetization = 0.00 Bohr magnetons per cell
formation energy (no corrections) = 1.229 eV per atom

Geometry as CIF:
```
data_BTePd3
_chemical_formula_sum 'B1 Te1 Pd3'
_cell_length_a 4.962
_cell_length_b 4.962
_cell_length_c 4.962
_cell_angle_alpha 90.00
_cell_angle_beta 90.00
_cell_angle_gamma 90.00
_symmetry_space_group_name_H-M 'P m -3 m'
_symmetry_Int_Tables_number 221
_symmetry_space_group_name_Hall '-P 4 2 3'
loop_
_atom_site_label
_atom_site_type_symbol
_atom_site_fract_x
_atom_site_fract_y
_atom_site_fract_z
_atom_site_occupancy
B1 B 0.000 0.000 0.000 1
Te1 Te 0.500 0.500 0.500 1
Pd1 Pd 0.000 0.500 0.500 1
```


No. 4
Here is an optimized crystal structure of BTePd from Alexandria via LeMat-Bulk. Energies are from PBE-GGA.

magnetization = 0.00 Bohr magnetons per cell
formation energy (no corrections) = 0.165 eV per atom

Geometry as CIF:
```
data_BTePd
_chemical_formula_sum 'B2 Te2 Pd2'
_cell_length_a 4.887
_cell_length_b 4.995
_cell_length_c 5.950
_cell_angle_alpha 87.86
_cell_angle_beta 82.64
_cell_angle_gamma 84.62
_symmetry_space_group_name_H-M 'P -1'
_symmetry_Int_Tables_number 2
loop_
_symmetry_equiv_pos_as_xyz
'x,y,z'
'-x,-y,-z'
loop_
_atom_site_label
_atom_site_type_symbol
_atom_site_fract_x
_atom_site_fract_y
_atom_site_fract_z
_atom_site_occupancy
B1 B 0.096 0.063 0.085 1
Te1 Te 0.314 0.276 0.304 1
Pd1 Pd 0.236 0.667 0.994 1
```


No. 5
Here is an optimized crystal structure of B3TePd from Alexandria via LeMat-Bulk. Energies are from PBE-GGA.

relative energy among the computed polymorphs = 0.000 eV/atom
magnetization = 0.00 Bohr magnetons per cell
formation energy (no corrections) = 1.386 eV per atom

Geometry as CIF:
```
data_B3TePd
_chemical_formula_sum 'B3 Te1 Pd1'
_cell_length_a 4.231
_cell_length_b 4.231
_cell_length_c 4.231
_cell_angle_alpha 90.00
_cell_angle_beta 90.00
_cell_angle_gamma 90.00
_symmetry_space_group_name_H-M 'P m -3 m'
_symmetry_Int_Tables_number 221
_symmetry_space_group_name_Hall '-P 4 2 3'
loop_
_atom_site_label
_atom_site_type_symbol
_atom_site_fract_x
_atom_site_fract_y
_atom_site_fract_z
_atom_site_occupancy
B1 B 0.000 0.000 0.500 1
Te1 Te 0.500 0.500 0.500 1
Pd1 Pd 0.000 0.000 0.000 1
```


No. 6
Here is an optimized crystal structure of BTe3Pd from Alexandria via LeMat-Bulk. Energies are from PBE-GGA.

relative energy among the computed polymorphs = 0.373 eV/atom
magnetization = 0.00 Bohr magnetons per cell
formation energy (no corrections) = 1.179 eV per atom

Geometry as CIF:
```
data_BTe3Pd
_chemical_formula_sum 'B1 Te3 Pd1'
_cell_length_a 5.296
_cell_length_b 5.296
_cell_length_c 5.296
_cell_angle_alpha 90.00
_cell_angle_beta 90.00
_cell_angle_gamma 90.00
_symmetry_space_group_name_H-M 'P m -3 m'
_symmetry_Int_Tables_number 221
_symmetry_space_group_name_Hall '-P 4 2 3'
loop_
_atom_site_label
_atom_site_type_symbol
_atom_site_fract_x
_atom_site_fract_y
_atom_site_fract_z
_atom_site_occupancy
B1 B 0.000 0.000 0.000 1
Te1 Te 0.000 0.500 0.500 1
Pd1 Pd 0.500 0.500 0.500 1
```


For the records above, the corresponding uncorrected energy values read -4.11; -5.09; -3.85; -4.84; -4.29; -3.08 eV per atom.